(1)
NaSn2F4: relaxed, PBE-GGA.

```
NaSn2F4
1.0
3.116 0.000 0.000
-1.558 7.067 0.000
0.000 0.000 10.588
Na Sn F
2 4 8
direct
0.610 0.220 0.750
0.390 0.780 0.250
0.128 0.256 0.410
0.872 0.744 0.910
0.128 0.256 0.090
0.872 0.744 0.590
0.826 0.653 0.104
0.826 0.653 0.396
0.174 0.347 0.896
0.174 0.347 0.604
0.992 0.983 0.750
0.008 0.017 0.250
0.500 0.000 0.000
0.500 0.000 0.500
```

Computed properties:
density = 4.8 g/cm³
formation energy (no corrections) = -2.0987 eV/atom
volume = 233.20 Å³ per cell

***

(2)
NaSnF5: relaxed, PBE-GGA.

```
NaSnF5
1.0
-1.539 5.304 -1.662
-5.555 -0.177 -1.540
-4.666 3.545 5.656
Na Sn F
2 2 10
direct
0.517 0.483 0.750
0.483 0.517 0.250
0.000 0.000 0.000
0.000 0.000 0.500
0.260 0.205 0.879
0.305 0.733 0.528
0.205 0.260 0.379
0.930 0.070 0.750
0.267 0.695 0.972
0.733 0.305 0.028
0.070 0.930 0.250
0.795 0.740 0.621
0.695 0.267 0.472
0.740 0.795 0.121
```

Computed properties:
density = 3.4 g/cm³
formation energy (no corrections) = -2.6069 eV/atom
volume = 231.98 Å³ per cell

***

(3)
NaSnF4: relaxed, PBE-GGA.

```
NaSnF4
1.0
6.255 0.000 0.000
0.000 6.255 0.000
-3.128 -3.128 2.733
Na Sn F
1 1 4
direct
0.750 0.250 0.500
0.500 0.500 0.000
0.521 0.908 0.419
0.898 0.511 0.419
0.092 0.102 0.581
0.489 0.479 0.581
```

Computed properties:
density = 3.4 g/cm³
formation energy (no corrections) = -2.2752 eV/atom
energy above the most stable polymorph in this dataset = 178 meV per atom
volume = 106.95 Å³ per cell